This record from the Alexandria database describes Li4Np2Br9 after structural relaxation. The functional is PBE-GGA.

Calculated values
- crystal system = monoclinic
- volume (Å³/atom) = 28.435
- formation energy from raw total energies (eV per atom) = -1.349

Cell and atoms, written as CIF:
```
data_Li4Np2Br9
_cell_length_a 12.350
_cell_length_b 7.108
_cell_length_c 19.435
_cell_angle_alpha 90.00
_cell_angle_beta 90.12
_cell_angle_gamma 90.00
_space_group_name_H-M_alt 'C 1 2/c 1'
_space_group_IT_number 15
loop_
_space_group_symop_operation_xyz
'x,y,z'
'-x,-y,-z'
'-x,y,-z+1/2'
'x,-y,z+1/2'
'x+1/2,y+1/2,z'
'-x+1/2,-y+1/2,-z'
'-x+1/2,y+1/2,-z+1/2'
'x+1/2,-y+1/2,z+1/2'
loop_
_atom_site_label
_atom_site_type_symbol
_atom_site_fract_x
_atom_site_fract_y
_atom_site_fract_z
_atom_site_occupancy
Li1 Li 0.166 0.000 0.013 1
Li2 Li 0.168 0.002 0.335 1
Np1 Np 0.000 0.499 0.155 1
Br1 Br 0.000 0.169 0.250 1
Br2 Br 0.008 0.140 0.917 1
Br3 Br 0.165 0.341 0.750 1
Br4 Br 0.176 0.307 0.418 1
Br5 Br 0.185 0.336 0.081 1
```